Computed, not measured: a geometry-optimized Nd2TlSn9 structure at the PBE-GGA level of DFT.

Results
N(E_F)	0.355	states/eV per atom
E_form	-0.308	eV per atom

abc: 4.7811 4.7811 14.5205
angles: 90.00 90.00 90.00
Space group P4/mmm (No. 123)
Unique sites:
Nd 0.0000 0.0000 0.1577 (multiplicity 2)
Tl 0.0000 0.0000 0.5000 (multiplicity 1)
Sn 0.0000 0.5000 0.0000 (multiplicity 2)
Sn 0.0000 0.5000 0.3320 (multiplicity 4)
Sn 0.5000 0.5000 0.1676 (multiplicity 2)
Sn 0.5000 0.5000 0.5000 (multiplicity 1)